Record 1
LiWO2 | GGA+U | relaxed

Cell and atoms, written as POSCAR:
```
LiWO2
1.0
5.248 0.000 0.000
4.234 3.101 0.000
4.234 1.385 2.774
Li O W
1 2 1
Cartesian
6.858 2.243 1.387 Li
10.206 3.337 2.064 O
3.510 1.148 0.710 O
0.000 0.000 0.000 W
```

Distance to the lowest polymorph of the same formula = 0 meV/atom
Fermi-level density of states = 0.0 states/eV/f.u.
Calculated density = 8.2 Mg/m³

=====

Record 2
Li12WO7 | GGA+U | relaxed

Cell and atoms, written as POSCAR:
```
Li12WO7
1.0
-2.319 6.217 -3.348
3.755 -3.672 -3.919
-4.989 -3.796 1.906
Li W O
12 1 7
Cartesian
1.182 -4.324 -2.908 Li
1.231 0.696 -5.207 Li
-2.001 1.464 -1.246 Li
-1.860 3.480 -3.396 Li
-1.694 -4.731 -1.965 Li
-4.785 -1.948 -0.154 Li
-4.455 -0.052 -2.949 Li
-1.857 -1.355 -1.669 Li
-1.697 0.103 -3.692 Li
0.902 -1.199 -2.412 Li
-1.552 -2.716 -4.115 Li
-4.736 3.073 -2.453 Li
0.000 0.000 0.000 W
-0.014 -5.647 -2.193 O
-1.160 3.108 -1.674 O
-3.540 4.396 -3.168 O
-5.545 1.271 -2.082 O
-2.951 -1.351 -3.248 O
1.991 -2.523 -3.279 O
-0.603 0.099 -2.113 O
```

Fermi-level density of states = 2.2 states/eV/f.u.
Uncorrected energy = -4.86 eV per atom
Calculated density = 2.7 Mg/m³

=====

Record 3
Li2W2O7 | GGA+U | relaxed

Cell and atoms, written as POSCAR:
```
Li2W2O7
1.0
5.777 0.244 0.279
-0.243 5.632 -0.935
-0.243 -1.676 5.458
O Li W
7 2 2
Cartesian
4.383 4.319 2.683 O
0.908 2.115 0.165 O
0.908 -0.118 2.119 O
2.889 0.122 0.140 O
1.582 2.474 2.828 O
3.710 1.727 1.974 O
4.383 2.085 4.637 O
-0.243 0.181 3.833 Li
-0.243 3.775 0.690 Li
3.411 3.003 3.433 W
1.881 1.198 1.369 W
```

Distance to the lowest polymorph of the same formula = 39 meV/atom
Fermi-level density of states = 0.0 states/eV/f.u.
Calculated density = 4.8 Mg/m³